Record 1
First-principles (PBE) data for a relaxed Ca4MgTe5 crystal, as listed in Alexandria.

The structure in POSCAR format:
```
Ca4MgTe5
1.0
-1.9469 3.7658 -1.3867
-4.3308 0.0095 -1.0670
-6.3371 5.4211 16.4464
Ca Te Mg
4 5 1
Direct
0.1023 0.1023 0.6932
0.8977 0.8977 0.3068
0.7008 0.7008 0.8977
0.2992 0.2992 0.1023
0.8037 0.8037 0.5890
0.1963 0.1963 0.4110
0.0000 0.0000 0.0000
0.5985 0.5985 0.2046
0.4015 0.4015 0.7954
0.5000 0.5000 0.5000
```

Computed properties:
Raw formation energy (eV per atom): -1.474
N(E_F) (states/eV/f.u.): 0.000
Size of the total moment (μB per cell): 0.000

***

Record 2
First-principles (PBE) data for a relaxed CaMgTe2 crystal, as listed in Alexandria.

The structure in POSCAR format:
```
CaMgTe2
1.0
-1.8784 -0.3115 4.1138
1.8320 -6.4076 0.3513
3.5060 1.0947 1.6838
Te Ca Mg
2 1 1
Direct
0.0000 0.0000 0.0000
0.5000 0.5000 0.0000
0.5000 0.0000 0.5000
0.0000 0.5000 0.5000
```

Computed properties:
Raw formation energy (eV per atom): -0.871
N(E_F) (states/eV/f.u.): 1.147
Size of the total moment (μB per cell): 0.000

***

Record 3
First-principles (PBE) data for a relaxed Ca3MgTe crystal, as listed in Alexandria.

The structure in POSCAR format:
```
Ca3MgTe
1.0
5.9119 0.0000 0.0000
0.0000 5.9119 0.0000
0.0000 0.0000 5.9119
Mg Ca Te
1 3 1
Direct
0.5000 0.5000 0.5000
0.0000 0.5000 0.0000
0.5000 0.0000 0.0000
0.0000 0.0000 0.5000
0.0000 0.0000 0.0000
```

Computed properties:
Raw formation energy (eV per atom): -0.311
N(E_F) (states/eV/f.u.): 5.220
Size of the total moment (μB per cell): 0.000
E above lowest polymorph (kJ/mol of formula units): 0.0

***

Record 4
First-principles (PBE) data for a relaxed CaMgTe2 crystal, as listed in Alexandria.

The structure in POSCAR format:
```
CaMgTe2
1.0
-2.4341 -3.2936 1.3388
1.6226 -3.9910 0.0653
2.0984 -1.3514 7.4243
Te Mg Ca
2 1 1
Direct
0.2579 0.2579 0.2264
0.0750 0.0750 0.7750
0.6674 0.6674 0.9977
0.4997 0.4997 0.5009
```

Computed properties:
Raw formation energy (eV per atom): -1.163
N(E_F) (states/eV/f.u.): 0.000
Size of the total moment (μB per cell): 0.000

***

Record 5
First-principles (PBE) data for a relaxed Ca3Y3MgTe8 crystal, as listed in Alexandria.

The structure in POSCAR format:
```
Ca3Y3MgTe8
1.0
8.7702 -0.0001 0.0000
-4.3852 7.5948 -0.0266
0.0000 -5.0371 7.3429
Te Ca Y Mg
8 3 3 1
Direct
0.2432 0.4865 0.7372
0.7481 0.4963 0.7445
0.7508 0.9940 0.7373
0.2492 0.0060 0.2627
0.7568 0.0060 0.2627
0.2432 0.9940 0.7373
0.2519 0.5037 0.2555
0.7568 0.5135 0.2628
0.0000 0.5000 0.0000
0.0000 0.0000 0.0000
0.5000 0.5000 0.0000
0.5000 0.0000 0.5000
0.0000 0.5000 0.5000
0.5000 0.5000 0.5000
0.0000 0.0000 0.5000
```

Computed properties:
Raw formation energy (eV per atom): -1.405
N(E_F) (states/eV/f.u.): 4.209
Size of the total moment (μB per cell): 0.000

***

Record 6
First-principles (PBE) data for a relaxed CaMg2ZnTe crystal, as listed in Alexandria.

The structure in POSCAR format:
```
CaMg2ZnTe
1.0
-4.3129 -1.1576 -3.2783
1.4190 -5.2927 0.0021
-3.1669 -0.8473 4.4656
Ca Mg Te Zn
1 2 1 1
Direct
0.5000 0.5000 0.5000
0.0000 0.0000 0.5000
0.5000 0.0000 0.0000
0.0000 0.0000 0.0000
0.0000 0.5000 0.0000
```

Computed properties:
Raw formation energy (eV per atom): 0.240
N(E_F) (states/eV/f.u.): 4.096
Size of the total moment (μB per cell): 0.000

***

Record 7
First-principles (PBE) data for a relaxed CaMgZr2Te crystal, as listed in Alexandria.

The structure in POSCAR format:
```
CaMgZr2Te
1.0
-1.8518 1.0749 4.9154
3.4919 -3.8659 2.1609
3.7811 3.7529 0.6038
Zr Te Ca Mg
2 1 1 1
Direct
0.0000 0.0000 0.5000
0.5000 0.0000 0.0000
0.0000 0.0000 0.0000
0.0000 0.5000 0.0000
0.5000 0.5000 0.5000
```

Computed properties:
Raw formation energy (eV per atom): 0.313
N(E_F) (states/eV/f.u.): 4.590
Size of the total moment (μB per cell): 0.000

***

Record 8
First-principles (PBE) data for a relaxed CaThMg crystal, as listed in Alexandria.

The structure in POSCAR format:
```
CaThMg
1.0
-1.0715 -2.9159 1.6215
2.7416 -1.7400 -1.3173
3.3393 4.2289 6.0248
Th Mg Ca
1 1 1
Direct
0.3216 0.3216 0.6432
0.6689 0.6689 0.3378
0.0095 0.0095 0.0190
```

Computed properties:
N(E_F) (states/eV/f.u.): 4.335
Formation enthalpy at 0 K (eV/atom): 0.1146
Size of the total moment (μB per cell): 0.000
E above lowest polymorph (kJ/mol of formula units): 0.0

***

Respective uncorrected energy values: -4.005; -3.341; -2.459; -3.633; -4.880; -1.681; -4.454; -3.557 eV per atom.
Respective theoretical density values: 4.34; 4.34; 2.19; 4.44; 4.87; 2.78; 3.84; 5.21 g cm⁻³.